Run 1
Below is crystalline Pm at its relaxed geometry, with properties calculated at the PBE level.

The structure belongs to space group Cmcm (No. 63); the cell edges are 3.627, 6.417 and 5.882 Å and the angles 90.00°, 90.00° and 90.00°. The distinct sites, in fractional coordinates, are Pm at (0.000, 0.155, 0.250).

***

Run 2
Below is crystalline Pm at its relaxed geometry, with properties calculated at the PBE level.

The structure belongs to space group R-3m (No. 166, hexagonal axes); the cell edges are 3.6601, 3.6601 and 8.6813 Å and the angles 90.00°, 90.00° and 120.00°. The distinct sites, in fractional coordinates, are Pm at (0.0000, 0.0000, 0.0000).

***

Computed relative energies in units of meV/atom: run 1 14; run 2 0